[1]
Compound: ThUCo2P2
Source: the Alexandria database
Functional: PBE
Structure: optimized geometry

Its formation energy is -592 kJ/mol of formula units. The size of the total moment comes out at 0.39 μB per formula unit.

```
ThUCo2P2
1.0
3.891 0.000 0.000
-1.946 3.370 0.000
0.000 0.000 7.763
Th U Co P
1 1 2 2
direct
0.000 0.000 0.000
0.000 0.000 0.500
0.333 0.667 0.707
0.667 0.333 0.293
0.333 0.667 0.252
0.667 0.333 0.748
```


[2]
Compound: Np2H4Rh
Source: the Alexandria database
Functional: PBE
Structure: optimized geometry

The value obtained for the calculated total energy is -47.23 eV per cell. The size of the total moment comes out at 9.14 μB per formula unit.

```
Np2H4Rh
1.0
-1.699 1.699 6.968
1.699 -1.699 6.968
1.699 1.699 -6.968
Np H Rh
2 4 1
direct
0.150 0.150 0.000
0.850 0.850 0.000
0.000 0.500 0.500
0.315 0.315 0.000
0.500 0.000 0.500
0.685 0.685 0.000
0.500 0.500 0.000
```